The following is a DFT calculation (PBE with a Hubbard U) of a relaxed CdNiPO2 crystal.

Properties
Calculated volume = 86.46 Å³ per cell
VASP energy = -2.99 eV/atom
SG = P4/mmm (123)
Energy relative to the lowest polymorph listed for this composition = 636 meV/atom

abc: 4.0271 4.0271 5.3312
angles: 90.00 90.00 90.00
Last column: nearest neighbours and their distance in Å.
Fractional positions:
Cd (0.0000, 0.0000, 0.0000)  4 O 2.01
Ni (0.5000, 0.5000, 0.5000)  4 P 2.85
P (0.0000, 0.0000, 0.5000)  2 Cd 2.67, 4 Ni 2.85
O (0.0000, 0.5000, 0.0000)  2 Cd 2.01
O (0.5000, 0.0000, 0.0000)  2 Cd 2.01